Entry 1:
The following is a SCAN calculation of BaNaN3 at its PBEsol-relaxed geometry, from Alexandria.

Unit cell a=4.7565 b=4.7565 c=4.7565 alpha=90.00 beta=90.00 gamma=90.00
With the nearest neighbours (Å) after each atom.
Fractional positions:
Na 0.5000 0.5000 0.5000  12 N 3.36
Ba 0.0000 0.0000 0.0000  6 N 2.38
N 0.0000 0.5000 0.0000  2 Ba 2.38
N 0.0000 0.0000 0.5000  2 Ba 2.38
N 0.5000 0.0000 0.0000  2 Ba 2.38

Properties
Calculated volume: 21.522 Å³/atom
Raw formation energy: 1.766 eV per atom
Crystal system: cubic
Uncorrected energy: -12.5617 eV per atom

---

Entry 2:
The following is a SCAN calculation of BaNaSN2 at its PBEsol-relaxed geometry, from Alexandria.

Unit cell a=5.1500 b=5.1500 c=5.8993 alpha=90.00 beta=90.00 gamma=90.00
With the nearest neighbours (Å) after each atom.
Fractional positions:
Na 0.5000 0.5000 0.5000  4 S 3.64, 8 N 3.92
S 0.0000 0.0000 0.5000  2 Ba 2.95
Ba 0.0000 0.0000 0.0000  4 N 2.57
N 0.0000 0.5000 0.0000  2 Ba 2.57
N 0.5000 0.0000 0.0000  2 Ba 2.57

Properties
Energy above the most stable polymorph in this dataset: 0.385 eV per atom
Calculated volume: 31.293 Å³/atom
Raw formation energy: 0.842 eV per atom
Crystal system: tetragonal
Uncorrected energy: -13.5533 eV per atom

---

Entry 3:
The following is a SCAN calculation of BaNaSN2 at its PBEsol-relaxed geometry, from Alexandria.

Unit cell a=4.5696 b=4.5696 c=5.0714 alpha=90.00 beta=90.00 gamma=90.00
With the nearest neighbours (Å) after each atom.
Fractional positions:
Na 0.0000 0.0000 0.0000  4 N 2.28, 2 S 2.54
S 0.0000 0.0000 0.5000  2 Na 2.54
Ba 0.5000 0.5000 0.5000  4 S 3.23, 8 N 3.41
N 0.0000 0.5000 0.0000  2 Na 2.28
N 0.5000 0.0000 0.0000  2 Na 2.28

Properties
Energy above the most stable polymorph in this dataset: 0.000 eV per atom
Calculated volume: 21.179 Å³/atom
Raw formation energy: 0.456 eV per atom
Crystal system: tetragonal
Uncorrected energy: -13.9387 eV per atom

---

Entry 4:
The following is a SCAN calculation of Ba3NbN at its PBEsol-relaxed geometry, from Alexandria.

Unit cell a=5.7244 b=5.7244 c=5.7244 alpha=90.00 beta=90.00 gamma=90.00
With the nearest neighbours (Å) after each atom.
Fractional positions:
Nb 0.0000 0.0000 0.0000  6 Ba 2.86
Ba 0.0000 0.5000 0.0000  2 Nb 2.86
Ba 0.0000 0.0000 0.5000  2 Nb 2.86
Ba 0.5000 0.0000 0.0000  2 Nb 2.86
N 0.5000 0.5000 0.5000  12 Ba 4.05

Properties
Calculated volume: 37.515 Å³/atom
Raw formation energy: 1.515 eV per atom
Crystal system: cubic
Uncorrected energy: -30.6996 eV per atom

---

Entry 5:
The following is a SCAN calculation of BaNbSeN2 at its PBEsol-relaxed geometry, from Alexandria.

Unit cell a=4.2278 b=4.2278 c=5.1850 alpha=90.00 beta=90.00 gamma=90.00
With the nearest neighbours (Å) after each atom.
Fractional positions:
Nb 0.0000 0.0000 0.0000  4 N 2.11
Ba 0.5000 0.5000 0.5000  4 Se 2.99, 8 N 3.35
Se 0.0000 0.0000 0.5000  2 Nb 2.59
N 0.0000 0.5000 0.0000  2 Nb 2.11
N 0.5000 0.0000 0.0000  2 Nb 2.11

Properties
Calculated volume: 18.536 Å³/atom
Raw formation energy: -0.676 eV per atom
Crystal system: tetragonal
Uncorrected energy: -22.9446 eV per atom

---

Entry 6:
The following is a SCAN calculation of BaN2O2 at its PBEsol-relaxed geometry, from Alexandria.

Unit cell a=4.5271 b=5.5605 c=5.5605 alpha=90.00 beta=90.00 gamma=90.00
With the nearest neighbours (Å) after each atom.
Fractional positions:
Ba 0.0000 0.0000 0.0000  2 O 2.26
O 0.5000 0.5000 0.5000  8 N 3.59, 4 O 3.93
O 0.5000 0.0000 0.0000  2 Ba 2.26
N 0.0000 0.0000 0.5000  2 Ba 2.78
N 0.0000 0.5000 0.0000  2 Ba 2.78

Properties
Calculated volume: 27.995 Å³/atom
Raw formation energy: 1.598 eV per atom
Crystal system: tetragonal
Uncorrected energy: -12.5208 eV per atom

---

Entry 7:
The following is a SCAN calculation of BaPNO2 at its PBEsol-relaxed geometry, from Alexandria.

Unit cell a=3.4710 b=4.0250 c=4.0250 alpha=90.00 beta=90.00 gamma=90.00
With the nearest neighbours (Å) after each atom.
Fractional positions:
P 0.0000 0.0000 0.0000  2 N 1.74
Ba 0.5000 0.5000 0.5000  8 O 2.66, 4 N 2.85
O 0.0000 0.0000 0.5000  2 P 2.01
O 0.0000 0.5000 0.0000  2 P 2.01
N 0.5000 0.0000 0.0000  2 P 1.74

Properties
Calculated volume: 11.246 Å³/atom
Raw formation energy: -1.256 eV per atom
Crystal system: tetragonal
Uncorrected energy: -15.5969 eV per atom

---

Entry 8:
The following is a SCAN calculation of BaSN2O at its PBEsol-relaxed geometry, from Alexandria.

Unit cell a=3.9224 b=4.3240 c=4.3240 alpha=90.00 beta=90.00 gamma=90.00
With the nearest neighbours (Å) after each atom.
Fractional positions:
S 0.5000 0.0000 0.0000  2 O 1.96
Ba 0.5000 0.5000 0.5000  8 N 2.92, 4 S 3.06
O 0.0000 0.0000 0.0000  2 S 1.96, 4 N 2.16
N 0.0000 0.0000 0.5000  2 O 2.16
N 0.0000 0.5000 0.0000  2 O 2.16

Properties
Calculated volume: 14.668 Å³/atom
Raw formation energy: 1.036 eV per atom
Crystal system: tetragonal
Uncorrected energy: -13.7621 eV per atom

---

Entry 9:
The following is a SCAN calculation of BaSi6N8O at its PBEsol-relaxed geometry, from Alexandria.

Unit cell a=4.8424 b=6.7924 c=6.7924 alpha=73.55 beta=69.12 gamma=69.12
With the nearest neighbours (Å) after each atom.
Fractional positions:
Ba 0.4891 0.5000 0.5000  2 N 2.80
N 0.0528 0.7256 0.2744  2 Si 1.68
N 0.0528 0.2744 0.7256  2 Si 1.68
N 0.9871 0.1875 0.1875  3 Si 1.72-1.78
N 0.3621 0.8125 0.8125  3 Si 1.72-1.78
N 0.9045 0.9532 0.6027  3 Si 1.72-1.76
N 0.4604 0.0468 0.3973  3 Si 1.72-1.76
N 0.4604 0.3973 0.0468  3 Si 1.72-1.76
N 0.9045 0.6027 0.9532  3 Si 1.72-1.76
O 0.6142 0.0000 0.0000  2 Si 1.63
Si 0.6862 0.8390 0.8390  1 O 1.63, 3 N 1.72
Si 0.3643 0.1610 0.1610  1 O 1.63, 3 N 1.72
Si 0.1801 0.0374 0.6449  4 N 1.68-1.78
Si 0.8624 0.9626 0.3551  4 N 1.68-1.78
Si 0.8624 0.3551 0.9626  4 N 1.68-1.78
Si 0.1801 0.6449 0.0374  4 N 1.68-1.78

Properties
Calculated volume: 11.993 Å³/atom
Raw formation energy: -1.591 eV per atom
Crystal system: orthorhombic
Uncorrected energy: -12.8537 eV per atom

---

Entry 10:
The following is a SCAN calculation of BaSrSi4N4O4 at its PBEsol-relaxed geometry, from Alexandria.

Unit cell a=7.2982 b=7.2998 c=7.2760 alpha=81.54 beta=81.14 gamma=81.92
With the nearest neighbours (Å) after each atom.
Fractional positions:
Ba 0.7041 0.6971 0.8731  5 O 2.58-2.80
Ba 0.7158 0.2275 0.7512  5 O 2.60-2.85
Sr 0.2405 0.7360 0.7349  4 O 2.49-2.58
Sr 0.1850 0.1867 0.8843  4 O 2.50-2.55
Si 0.3653 0.4294 0.2002  1 O 1.63, 3 N 1.74-1.77
Si 0.5917 0.6535 0.4000  1 O 1.62, 3 N 1.74-1.75
Si 0.9940 0.5609 0.4171  1 O 1.63, 3 N 1.74-1.77
Si 0.7744 0.3296 0.2198  1 O 1.62, 3 N 1.74-1.75
Si 0.2681 0.8307 0.2105  1 O 1.62, 3 N 1.74
Si 0.0942 0.1531 0.4122  1 O 1.62, 3 N 1.74-1.75
Si 0.8662 0.9340 0.2089  1 O 1.62, 3 N 1.74-1.75
Si 0.4885 0.0568 0.4156  1 O 1.62, 3 N 1.73-1.76
N 0.1967 0.6096 0.2676  3 Si 1.74
N 0.3130 0.2285 0.3486  3 Si 1.73-1.74
N 0.4308 0.8486 0.3570  3 Si 1.74-1.76
N 0.5770 0.4933 0.2477  3 Si 1.74-1.77
N 0.8131 0.7264 0.3456  3 Si 1.74-1.75
N 0.9281 0.3478 0.3776  3 Si 1.75-1.77
N 0.6967 0.1113 0.2802  3 Si 1.74
N 0.0755 0.9946 0.2596  3 Si 1.74-1.75
O 0.0153 0.5532 0.6374  1 Si 1.63
O 0.8751 0.3564 0.0049  1 Si 1.62
O 0.3509 0.8659 0.9904  1 Si 1.62
O 0.4960 0.0273 0.6400  1 Si 1.62
O 0.5523 0.5663 0.6178  1 Si 1.62
O 0.8905 0.9259 0.9848  1 Si 1.62
O 0.3827 0.4052 0.9790  1 Si 1.63
O 0.0685 0.0597 0.6293  1 Si 1.62

Properties
Calculated volume: 13.431 Å³/atom
Raw formation energy: -2.319 eV per atom
Crystal system: triclinic
Uncorrected energy: -14.0319 eV per atom

---

Entry 11:
The following is a SCAN calculation of BaTa2NO at its PBEsol-relaxed geometry, from Alexandria.

Unit cell a=3.9945 b=3.9945 c=6.9498 alpha=90.00 beta=90.00 gamma=90.00
With the nearest neighbours (Å) after each atom.
Fractional positions:
N 0.0000 0.0000 0.0000  4 Ta 2.00
Ba 0.5000 0.5000 0.5000  4 O 2.82
O 0.0000 0.0000 0.5000  4 Ba 2.82
Ta 0.0000 0.5000 0.0000  2 N 2.00
Ta 0.5000 0.0000 0.0000  2 N 2.00

Properties
Calculated volume: 22.178 Å³/atom
Raw formation energy: -0.285 eV per atom
Crystal system: tetragonal
Uncorrected energy: -37.9326 eV per atom

---

Number 8 is which compound? BaSN2O

---

Among the records above, which one has the lowest uncorrected energy? BaTa2NO

---

Copy entry 2 word for word.
The following is a SCAN calculation of BaNaSN2 at its PBEsol-relaxed geometry, from Alexandria.

Unit cell a=5.1500 b=5.1500 c=5.8993 alpha=90.00 beta=90.00 gamma=90.00
With the nearest neighbours (Å) after each atom.
Fractional positions:
Na 0.5000 0.5000 0.5000  4 S 3.64, 8 N 3.92
S 0.0000 0.0000 0.5000  2 Ba 2.95
Ba 0.0000 0.0000 0.0000  4 N 2.57
N 0.0000 0.5000 0.0000  2 Ba 2.57
N 0.5000 0.0000 0.0000  2 Ba 2.57

Properties
Energy above the most stable polymorph in this dataset: 0.385 eV per atom
Calculated volume: 31.293 Å³/atom
Raw formation energy: 0.842 eV per atom
Crystal system: tetragonal
Uncorrected energy: -13.5533 eV per atom

---

What is the raw formation energy in the sixth record? 1.598 eV per atom